First-principles (PBE) data for crystalline BeSi2Hg at its relaxed geometry, as listed in the Alexandria database.

Calculated values
* calculated total energy: -2.934 eV/atom
* M_tot: 0.0 μB/f.u.
* volume: 66.8 Å³/f.u.
* DOS at the Fermi energy: 8.132 states/eV per cell

Cell: 6.440 6.440 6.440 Å, 90.00 90.00 90.00°
Space group F-43m (No. 216)
Asymmetric unit:
Be 0.000 0.000 0.000 (multiplicity 4)
Si 0.000 0.000 0.500 (multiplicity 4)
Si 0.250 0.250 0.250 (multiplicity 4)
Hg 0.250 0.250 0.750 (multiplicity 4)